Compound: Ce2BeC
Source: the Alexandria database
Functional: GGA-PBE
Structure: optimized geometry

abc: 3.353 3.353 9.315
angles: 79.63 79.63 60.00
Last column: magnetic moment on the atom in μB.
Fractional coordinates of all 4 atoms:
C 0.500 0.500 0.500  -0.02
Ce 0.887 0.887 0.338  0.51
Ce 0.113 0.113 0.662  0.51
Be 0.000 0.000 0.000  0.01

Properties
* Fermi-level density of states: 7.88 states/eV per cell
* total DFT energy (no corrections): -5.69 eV per atom
* energy of formation: 49.8 kJ per mole of atoms

Compound: CeBeC2
Source: the Alexandria database
Functional: GGA-PBE
Structure: optimized geometry

abc: 3.834 3.834 5.723
angles: 70.43 70.43 60.00
Fractional coordinates of all 4 atoms:
C 0.896 0.896 0.311
C 0.104 0.104 0.689
Be 0.000 0.000 0.000
Ce 0.500 0.500 0.500

Properties
* Fermi-level density of states: 4.89 states/eV per cell
* total DFT energy (no corrections): -6.23 eV per atom
* relative energy among the computed polymorphs: 964 meV/atom
* energy of formation: 76.5 kJ per mole of atoms

Compound: Ce3BeC3
Source: the Alexandria database
Functional: GGA-PBE
Structure: optimized geometry

abc: 5.223 7.200 7.200
angles: 120.00 90.00 90.00
Last column: magnetic moment on the atom in μB.
Fractional coordinates of all 14 atoms:
Ce 0.750 0.357 0.067  0.34
Ce 0.250 0.643 0.933  0.34
Ce 0.250 0.067 0.711  0.34
Ce 0.250 0.289 0.357  0.34
Ce 0.750 0.711 0.643  0.34
Ce 0.750 0.933 0.289  0.34
C 0.250 0.679 0.594  -0.02
C 0.750 0.321 0.406  -0.02
C 0.750 0.594 0.915  -0.02
C 0.250 0.915 0.321  -0.02
C 0.250 0.406 0.085  -0.02
C 0.750 0.085 0.679  -0.02
Be 0.750 0.333 0.667  0.00
Be 0.250 0.667 0.333  0.00

Properties
* Fermi-level density of states: 14.05 states/eV per cell
* total DFT energy (no corrections): -7.19 eV per atom
* energy of formation: -15.3 kJ per mole of atoms

Compound: CeBeC2
Source: the Alexandria database
Functional: GGA-PBE
Structure: optimized geometry

abc: 3.819 3.629 3.629
angles: 107.94 90.00 90.00
Fractional coordinates of all 4 atoms:
Be 0.500 0.380 0.620
Ce 0.000 0.000 0.000
C 0.500 0.536 0.136
C 0.500 0.864 0.464

Properties
* Fermi-level density of states: 2.53 states/eV per cell
* total DFT energy (no corrections): -7.20 eV per atom
* relative energy among the computed polymorphs: 0 meV/atom
* energy of formation: -16.4 kJ per mole of atoms

Compound: Ce3BeC4
Source: the Alexandria database
Functional: GGA-PBE
Structure: optimized geometry

abc: 3.905 4.531 6.947
angles: 104.14 106.32 90.00
Fractional coordinates of all 8 atoms:
Be 0.500 0.000 0.000
C 0.389 0.198 0.778
C 0.611 0.802 0.222
C 0.629 0.505 0.258
C 0.371 0.495 0.742
Ce 0.179 0.174 0.359
Ce 0.000 0.500 0.000
Ce 0.821 0.826 0.641

Properties
* Fermi-level density of states: 7.43 states/eV per cell
* total DFT energy (no corrections): -7.39 eV per atom
* energy of formation: -8.4 kJ per mole of atoms

Compound: CeBeCoC
Source: the Alexandria database
Functional: GGA-PBE
Structure: optimized geometry

abc: 3.630 3.630 8.229
angles: 90.00 90.00 90.00
Last column: magnetic moment on the atom in μB.
Fractional coordinates of all 8 atoms:
Ce 0.000 0.500 0.837  -0.15
Ce 0.500 0.000 0.163  -0.15
C 0.000 0.500 0.132  0.01
C 0.500 0.000 0.868  0.01
Be 0.000 0.500 0.341  -0.05
Be 0.500 0.000 0.659  -0.05
Co 0.500 0.500 0.500  0.91
Co 0.000 0.000 0.500  0.91

Properties
* Fermi-level density of states: 5.65 states/eV per cell
* total DFT energy (no corrections): -6.61 eV per atom
* energy of formation: -10.4 kJ per mole of atoms

Compound: CeDy2BeC2
Source: the Alexandria database
Functional: GGA-PBE
Structure: optimized geometry

abc: 3.622 5.438 11.031
angles: 90.00 90.00 90.00
Fractional coordinates of all 12 atoms:
Be 0.500 0.500 0.500
Be 0.000 0.000 0.000
Dy 0.000 0.512 0.704
Dy 0.500 0.988 0.204
Dy 0.500 0.012 0.796
Dy 0.000 0.488 0.296
C 0.000 0.768 0.891
C 0.000 0.232 0.109
C 0.500 0.268 0.609
C 0.500 0.732 0.391
Ce 0.500 0.500 0.000
Ce 0.000 0.000 0.500

Properties
* Fermi-level density of states: 10.65 states/eV per cell
* total DFT energy (no corrections): -6.35 eV per atom
* energy of formation: -13.1 kJ per mole of atoms

Compound: Ce2HoBeC2
Source: the Alexandria database
Functional: GGA-PBE
Structure: optimized geometry

abc: 3.555 5.370 11.268
angles: 90.00 90.00 90.00
Last column: magnetic moment on the atom in μB.
Fractional coordinates of all 12 atoms:
Ce 0.500 0.007 0.213  0.18
Ce 0.000 0.507 0.287  0.18
Ce 0.000 0.493 0.713  0.18
Ce 0.500 0.993 0.787  0.18
Ho 0.500 0.500 0.000  0.02
Ho 0.000 0.000 0.500  0.02
Be 0.500 0.500 0.500  0.00
Be 0.000 0.000 0.000  0.00
C 0.000 0.234 0.104  -0.01
C 0.000 0.766 0.896  -0.01
C 0.500 0.266 0.604  -0.01
C 0.500 0.734 0.396  -0.01

Properties
* Fermi-level density of states: 13.47 states/eV per cell
* total DFT energy (no corrections): -6.56 eV per atom
* energy of formation: -11.8 kJ per mole of atoms

Compound: CeHo2BeC2
Source: the Alexandria database
Functional: GGA-PBE
Structure: optimized geometry

abc: 3.612 5.425 10.984
angles: 90.00 90.00 90.00
Fractional coordinates of all 12 atoms:
Be 0.000 0.000 0.000
Be 0.500 0.500 0.500
Ho 0.000 0.511 0.705
Ho 0.000 0.489 0.295
Ho 0.500 0.011 0.795
Ho 0.500 0.989 0.205
C 0.000 0.232 0.110
C 0.500 0.268 0.610
C 0.000 0.768 0.890
C 0.500 0.732 0.390
Ce 0.000 0.000 0.500
Ce 0.500 0.500 0.000

Properties
* Fermi-level density of states: 10.75 states/eV per cell
* total DFT energy (no corrections): -6.36 eV per atom
* energy of formation: -14.3 kJ per mole of atoms

Compound: CeBeIrC
Source: the Alexandria database
Functional: GGA-PBE
Structure: optimized geometry

abc: 3.764 3.764 8.279
angles: 90.00 90.00 90.00
Fractional coordinates of all 8 atoms:
C 0.000 0.500 0.125
C 0.500 0.000 0.875
Be 0.000 0.500 0.334
Be 0.500 0.000 0.666
Ce 0.000 0.500 0.839
Ce 0.500 0.000 0.161
Ir 0.000 0.000 0.500
Ir 0.500 0.500 0.500

Properties
* Fermi-level density of states: 3.79 states/eV per cell
* total DFT energy (no corrections): -7.27 eV per atom
* energy of formation: -32.1 kJ per mole of atoms

Compound: Ce2BeCN
Source: the Alexandria database
Functional: GGA-PBE
Structure: optimized geometry

abc: 3.325 6.641 6.932
angles: 104.26 90.00 90.00
Last column: magnetic moment on the atom in μB.
Fractional coordinates of all 10 atoms:
C 0.250 0.548 0.256  -0.01
C 0.750 0.452 0.744  -0.01
N 0.750 0.169 0.164  -0.01
N 0.250 0.831 0.836  -0.01
Be 0.750 0.428 0.219  0.00
Be 0.250 0.572 0.781  0.00
Ce 0.250 0.254 0.445  0.23
Ce 0.250 0.210 0.920  0.18
Ce 0.750 0.790 0.080  0.18
Ce 0.750 0.746 0.555  0.23

Properties
* Fermi-level density of states: 11.99 states/eV per cell
* total DFT energy (no corrections): -7.28 eV per atom

Compound: CeBe2CN
Source: the Alexandria database
Functional: GGA-PBE
Structure: optimized geometry

abc: 3.143 5.170 6.972
angles: 90.00 90.00 107.70
Last column: magnetic moment on the atom in μB.
Fractional coordinates of all 10 atoms:
Be 0.148 0.296 0.606  0.01
Be 0.852 0.704 0.394  0.01
Be 0.148 0.296 0.894  0.01
Be 0.852 0.704 0.106  0.01
C 0.300 0.601 0.250  -0.01
C 0.700 0.399 0.750  -0.01
N 0.000 0.000 0.000  -0.01
N 0.000 0.000 0.500  -0.01
Ce 0.577 0.154 0.250  0.34
Ce 0.423 0.846 0.750  0.34

Properties
* Fermi-level density of states: 7.09 states/eV per cell
* total DFT energy (no corrections): -6.70 eV per atom

Among the records above, which one has the lowest total DFT energy (no corrections)?
Ce3BeC4

Which value of total DFT energy (no corrections) does entry 2 give?
-6.23 eV per atom

Look up the total DFT energy (no corrections) of the fifth one.
-7.39 eV per atom